[1]
Below is crystalline Ca8In2Ir at its relaxed geometry, with properties calculated at the PBE level.

Unit cell a=5.469 b=7.186 c=9.704 alpha=108.62 beta=106.37 gamma=90.00
Element x y z (fractional)
1 Ca 0.406 0.588 0.811
2 Ca 0.647 0.947 0.294
3 Ca 0.793 0.716 0.586
4 Ca 0.981 0.206 0.961
5 Ca 0.207 0.284 0.414
6 Ca 0.353 0.053 0.706
7 Ca 0.594 0.412 0.189
8 Ca 0.019 0.794 0.039
9 In 0.820 0.294 0.641
10 In 0.180 0.706 0.359
11 Ir 0.500 0.000 0.000

## Properties
**Energy relative to the elements**: -315 kJ/mol of formula units
**Magnetic moment**: 0.000 μB/cell
**SG**: C2/m (12)
**Electronic total energy**: -33.61 eV/cell
**Theoretical density**: 3.57 g cm⁻³

***

[2]
Below is crystalline Pr2CdSi at its relaxed geometry, with properties calculated at the PBE level.

Unit cell a=4.002 b=5.155 c=5.155 alpha=90.00 beta=90.00 gamma=90.00
Element x y z (fractional)
1 Pr 0.000 0.000 0.500
2 Pr 0.000 0.500 0.000
3 Si 0.500 0.000 0.000
4 Cd 0.500 0.500 0.500

## Properties
**Formation energy without anion corrections**: -0.389 eV per atom
**Magnetic moment**: 0.000 μB/cell
**SG**: P4/mmm (123)
**Electronic total energy**: -17.45 eV/cell
**Theoretical density**: 6.59 g cm⁻³

***

[3]
Below is crystalline Ac3Ce2TmSe6 at its relaxed geometry, with properties calculated at the PBE level.

Unit cell a=7.406 b=7.406 c=7.555 alpha=99.42 beta=99.42 gamma=120.07
Last column: magnetic moment on the atom in μB.
Element x y z (fractional)
1 Ac 0.170 0.830 0.500  0.00
2 Ac 0.830 0.170 0.500  0.00
3 Ac 0.500 0.500 0.500  0.00
4 Ce 0.334 0.666 0.000  0.83
5 Ce 0.666 0.334 0.000  0.83
6 Tm 0.000 0.000 0.000  0.02
7 Se 0.926 0.602 0.775  -0.01
8 Se 0.754 0.754 0.230  -0.01
9 Se 0.074 0.398 0.225  -0.01
10 Se 0.602 0.926 0.775  -0.01
11 Se 0.246 0.246 0.770  -0.01
12 Se 0.398 0.074 0.225  -0.01

## Properties
**Formation energy without anion corrections**: -1.802 eV per atom
**Magnetic moment**: 1.964 μB/cell
**SG**: C2/m (12)
**Electronic total energy**: -71.19 eV/cell
**Theoretical density**: 7.86 g cm⁻³

***

[4]
Below is crystalline InTcTe2 at its relaxed geometry, with properties calculated at the PBE level.

Unit cell a=3.716 b=5.628 c=4.655 alpha=90.00 beta=90.00 gamma=90.00
Last column: magnetic moment on the atom in μB.
Element x y z (fractional)
1 In 0.500 0.000 0.500  -0.02
2 Tc 0.000 0.500 0.500  2.23
3 Te 0.000 0.000 0.000  0.00
4 Te 0.500 0.500 0.000  -0.02

## Properties
**Formation energy without anion corrections**: 0.667 eV per atom
**Magnetic moment**: 2.449 μB/cell
**SG**: Pmmm (47)
**Electronic total energy**: -16.72 eV/cell
**Theoretical density**: 7.98 g cm⁻³

***

[5]
Below is crystalline NaCeCo4 at its relaxed geometry, with properties calculated at the PBE level.

Unit cell a=4.985 b=4.985 c=4.985 alpha=60.00 beta=60.00 gamma=60.00
Last column: magnetic moment on the atom in μB.
Element x y z (fractional)
1 Na 0.000 0.000 0.000  -0.03
2 Co 0.625 0.625 0.126  1.02
3 Co 0.625 0.126 0.625  1.02
4 Co 0.625 0.625 0.625  1.02
5 Co 0.126 0.625 0.625  1.02
6 Ce 0.250 0.250 0.250  -0.69

## Properties
**Energy relative to the elements**: 66 kJ/mol of formula units
**Magnetic moment**: 2.935 μB/cell
**SG**: F-43m (216)
**Electronic total energy**: -34.99 eV/cell
**Theoretical density**: 7.56 g cm⁻³

***

[6]
Below is crystalline AgB2HS at its relaxed geometry, with properties calculated at the PBE level.

Unit cell a=4.094 b=3.060 c=4.094 alpha=90.00 beta=90.00 gamma=90.00
Element x y z (fractional)
1 H 0.000 0.500 0.000
2 S 0.000 0.000 0.000
3 B 0.000 0.000 0.500
4 B 0.500 0.000 0.000
5 Ag 0.500 0.500 0.500

## Properties
**Magnetic moment**: 0.000 μB/cell
**SG**: P4/mmm (123)
**Electronic total energy**: -17.89 eV/cell
**Theoretical density**: 5.26 g cm⁻³

***

[7]
Below is crystalline Sr4Ca2Ga at its relaxed geometry, with properties calculated at the PBE level.

Unit cell a=6.172 b=6.172 c=10.494 alpha=72.90 beta=72.90 gamma=90.00
Element x y z (fractional)
1 Sr 0.165 0.165 0.670
2 Sr 0.835 0.835 0.330
3 Sr 0.000 0.500 0.000
4 Sr 0.500 0.000 0.000
5 Ca 0.373 0.373 0.254
6 Ca 0.627 0.627 0.746
7 Ga 0.000 0.000 0.000

## Properties
**Energy relative to the elements**: 64 kJ/mol of formula units
**Magnetic moment**: 0.000 μB/cell
**SG**: I4/mmm (139)
**Electronic total energy**: -13.09 eV/cell
**Theoretical density**: 2.29 g cm⁻³

***

[8]
Below is crystalline PmH8Ir2Rh at its relaxed geometry, with properties calculated at the PBE level.

Unit cell a=4.725 b=4.725 c=6.209 alpha=67.63 beta=67.63 gamma=60.00
Element x y z (fractional)
1 Pm 0.500 0.500 0.500
2 H 0.183 0.183 0.451
3 H 0.640 0.255 0.184
4 H 0.817 0.817 0.549
5 H 0.921 0.640 0.184
6 H 0.079 0.360 0.816
7 H 0.255 0.921 0.184
8 H 0.745 0.079 0.816
9 H 0.360 0.745 0.816
10 Ir 0.280 0.280 0.161
11 Ir 0.720 0.720 0.839
12 Rh 0.000 0.000 0.000

## Properties
**Magnetic moment**: 0.000 μB/cell
**SG**: R-3 (148)
**Electronic total energy**: -58.42 eV/cell
**Theoretical density**: 9.86 g cm⁻³

***

[9]
Below is crystalline Tl23SnSb6 at its relaxed geometry, with properties calculated at the PBE level.

Unit cell a=11.098 b=11.098 c=11.098 alpha=60.00 beta=60.00 gamma=60.00
Element x y z (fractional)
1 Tl 0.612 0.129 0.129
2 Tl 0.388 0.871 0.871
3 Tl 0.129 0.129 0.612
4 Tl 0.129 0.129 0.129
5 Tl 0.871 0.871 0.388
6 Tl 0.871 0.871 0.871
7 Tl 0.129 0.612 0.129
8 Tl 0.871 0.388 0.871
9 Tl 0.500 0.500 0.000
10 Tl 0.000 0.000 0.500
11 Tl 0.500 0.000 0.000
12 Tl 0.000 0.500 0.500
13 Tl 0.500 0.000 0.500
14 Tl 0.000 0.500 0.000
15 Tl 0.859 0.380 0.380
16 Tl 0.141 0.620 0.620
17 Tl 0.380 0.380 0.859
18 Tl 0.380 0.380 0.380
19 Tl 0.620 0.620 0.141
20 Tl 0.620 0.620 0.620
21 Tl 0.380 0.859 0.380
22 Tl 0.620 0.141 0.620
23 Tl 0.000 0.000 0.000
24 Sn 0.500 0.500 0.500
25 Sb 0.764 0.764 0.236
26 Sb 0.236 0.236 0.764
27 Sb 0.764 0.236 0.236
28 Sb 0.236 0.764 0.764
29 Sb 0.764 0.236 0.764
30 Sb 0.236 0.764 0.236

## Properties
**Formation energy without anion corrections**: 0.040 eV per atom
**Magnetic moment**: 0.000 μB/cell
**SG**: Fm-3m (225)
**Electronic total energy**: -81.97 eV/cell
**Theoretical density**: 9.53 g cm⁻³

***

[10]
Below is crystalline Li3UF8 at its relaxed geometry, with properties calculated at the PBE level.

Unit cell a=5.199 b=5.199 c=5.199 alpha=90.00 beta=90.00 gamma=90.00
Last column: magnetic moment on the atom in μB.
Element x y z (fractional)
1 Li 0.500 0.500 0.000  0.00
2 Li 0.500 0.000 0.500  0.00
3 Li 0.000 0.500 0.500  0.00
4 U 0.000 0.000 0.000  1.03
5 F 0.244 0.244 0.756  -0.01
6 F 0.244 0.756 0.244  -0.01
7 F 0.756 0.244 0.244  -0.01
8 F 0.756 0.756 0.756  -0.01
9 F 0.756 0.756 0.244  -0.01
10 F 0.756 0.244 0.756  -0.01
11 F 0.244 0.756 0.756  -0.01
12 F 0.244 0.244 0.244  -0.01

## Properties
**Formation energy without anion corrections**: -3.170 eV per atom
**Magnetic moment**: 1.000 μB/cell
**SG**: Pm-3m (221)
**Electronic total energy**: -70.04 eV/cell
**Theoretical density**: 4.85 g cm⁻³

***

[11]
Below is crystalline La3HfRh at its relaxed geometry, with properties calculated at the PBE level.

Unit cell a=5.516 b=5.516 c=5.516 alpha=90.00 beta=90.00 gamma=90.00
Element x y z (fractional)
1 Rh 0.000 0.000 0.000
2 Hf 0.500 0.500 0.500
3 La 0.000 0.500 0.000
4 La 0.000 0.000 0.500
5 La 0.500 0.000 0.000

## Properties
**Energy relative to the elements**: 70 kJ/mol of formula units
**Magnetic moment**: 0.002 μB/cell
**Energy relative to the lowest polymorph listed for this composition**: 0 meV/atom
**SG**: Pm-3m (221)
**Electronic total energy**: -31.36 eV/cell
**Theoretical density**: 6.91 g cm⁻³

***

[12]
Below is crystalline LaTeRh3 at its relaxed geometry, with properties calculated at the PBE level.

Unit cell a=4.941 b=4.941 c=4.941 alpha=90.00 beta=90.00 gamma=90.00
Element x y z (fractional)
1 Te 0.500 0.500 0.500
2 Rh 0.000 0.500 0.000
3 Rh 0.000 0.000 0.500
4 Rh 0.500 0.000 0.000
5 La 0.000 0.000 0.000

## Properties
**Formation energy without anion corrections**: 0.853 eV per atom
**Magnetic moment**: 0.000 μB/cell
**Energy relative to the lowest polymorph listed for this composition**: 903 meV/atom
**SG**: Pm-3m (221)
**Electronic total energy**: -25.86 eV/cell
**Theoretical density**: 7.92 g cm⁻³

***

[13]
Below is crystalline BiIrSe2 at its relaxed geometry, with properties calculated at the PBE level.

Unit cell a=12.636 b=12.636 c=12.636 alpha=13.77 beta=13.77 gamma=13.77
Element x y z (fractional)
1 Ir 0.000 0.000 0.000
2 Bi 0.500 0.500 0.500
3 Se 0.937 0.937 0.937
4 Se 0.063 0.063 0.063

## Properties
**Formation energy without anion corrections**: 0.424 eV per atom
**Magnetic moment**: 0.000 μB/cell
**SG**: R-3m (166)
**Electronic total energy**: -18.01 eV/cell
**Theoretical density**: 9.33 g cm⁻³

***

[14]
Below is crystalline NdNb2S6 at its relaxed geometry, with properties calculated at the PBE level.

Unit cell a=4.931 b=6.432 c=7.835 alpha=72.65 beta=71.66 gamma=67.46
Element x y z (fractional)
1 Nd 0.000 0.500 0.500
2 Nb 0.194 0.692 0.921
3 Nb 0.806 0.308 0.079
4 S 0.704 0.702 0.890
5 S 0.296 0.298 0.110
6 S 0.973 0.865 0.188
7 S 0.348 0.706 0.597
8 S 0.027 0.135 0.812
9 S 0.652 0.294 0.403

## Properties
**Formation energy without anion corrections**: -1.083 eV per atom
**Magnetic moment**: 0.000 μB/cell
**SG**: C2/m (12)
**Electronic total energy**: -59.42 eV/cell
**Theoretical density**: 4.07 g cm⁻³

***

[15]
Below is crystalline ErZn4Ga2 at its relaxed geometry, with properties calculated at the PBE level.

Unit cell a=4.040 b=4.094 c=7.594 alpha=105.64 beta=90.00 gamma=90.00
Element x y z (fractional)
1 Er 0.000 0.000 0.000
2 Zn 0.500 0.815 0.629
3 Zn 0.000 0.690 0.380
4 Zn 0.500 0.185 0.371
5 Zn 0.000 0.310 0.620
6 Ga 0.500 0.583 0.166
7 Ga 0.500 0.417 0.834

## Properties
**Energy relative to the elements**: -178 kJ/mol of formula units
**Magnetic moment**: 0.000 μB/cell
**SG**: Cmmm (65)
**Electronic total energy**: -17.56 eV/cell
**Theoretical density**: 7.80 g cm⁻³

***

[16]
Below is crystalline SrTaIO6 at its relaxed geometry, with properties calculated at the PBE level.

Unit cell a=5.501 b=5.501 c=10.724 alpha=90.00 beta=90.00 gamma=120.00
Element x y z (fractional)
1 Sr 0.000 0.000 0.000
2 Sr 0.000 0.000 0.500
3 Ta 0.667 0.333 0.250
4 Ta 0.333 0.667 0.750
5 I 0.333 0.667 0.250
6 I 0.667 0.333 0.750
7 O 0.631 0.619 0.146
8 O 0.988 0.369 0.146
9 O 0.369 0.988 0.646
10 O 0.012 0.631 0.854
11 O 0.381 0.369 0.354
12 O 0.988 0.619 0.354
13 O 0.619 0.988 0.854
14 O 0.631 0.012 0.354
15 O 0.012 0.381 0.646
16 O 0.381 0.012 0.146
17 O 0.619 0.631 0.646
18 O 0.369 0.381 0.854

## Properties
**Formation energy without anion corrections**: -1.927 eV per atom
**Magnetic moment**: 0.000 μB/cell
**SG**: P-31c (163)
**Electronic total energy**: -124.35 eV/cell
**Theoretical density**: 5.81 g cm⁻³

***

[17]
Below is crystalline Y2TcBr at its relaxed geometry, with properties calculated at the PBE level.

Unit cell a=5.008 b=5.008 c=5.008 alpha=60.00 beta=60.00 gamma=60.00
Element x y z (fractional)
1 Y 0.000 0.000 0.000
2 Y 0.250 0.250 0.250
3 Tc 0.750 0.750 0.750
4 Br 0.500 0.500 0.500

## Properties
**Formation energy without anion corrections**: 0.424 eV per atom
**Magnetic moment**: 0.000 μB/cell
**Energy relative to the lowest polymorph listed for this composition**: 1014 meV/atom
**SG**: F-43m (216)
**Electronic total energy**: -23.27 eV/cell
**Theoretical density**: 6.65 g cm⁻³

***

[18]
Below is crystalline BaCdW4 at its relaxed geometry, with properties calculated at the PBE level.

Unit cell a=5.600 b=5.600 c=5.600 alpha=60.00 beta=60.00 gamma=60.00
Element x y z (fractional)
1 Ba 0.750 0.750 0.750
2 Cd 0.000 0.000 0.000
3 W 0.873 0.376 0.376
4 W 0.376 0.376 0.873
5 W 0.376 0.873 0.376
6 W 0.376 0.376 0.376

## Properties
**Energy relative to the elements**: 585 kJ/mol of formula units
**Magnetic moment**: 0.000 μB/cell
**SG**: F-43m (216)
**Electronic total energy**: -48.59 eV/cell
**Theoretical density**: 13.17 g cm⁻³

***

[19]
Below is crystalline YTiAl2C at its relaxed geometry, with properties calculated at the PBE level.

Unit cell a=5.326 b=4.226 c=5.326 alpha=90.00 beta=90.00 gamma=90.00
Element x y z (fractional)
1 Y 0.000 0.000 0.000
2 C 0.000 0.500 0.000
3 Al 0.000 0.000 0.500
4 Al 0.500 0.000 0.000
5 Ti 0.500 0.500 0.500

## Properties
**Energy relative to the elements**: 803 kJ/mol of formula units
**Magnetic moment**: 0.001 μB/cell
**SG**: P4/mmm (123)
**Electronic total energy**: -22.75 eV/cell
**Theoretical density**: 2.81 g cm⁻³

***

[20]
Below is crystalline LiZn8Ag2 at its relaxed geometry, with properties calculated at the PBE level.

Unit cell a=4.020 b=6.376 c=7.234 alpha=107.99 beta=106.13 gamma=90.00
Element x y z (fractional)
1 Li 0.500 0.000 0.000
2 Zn 0.587 0.456 0.175
3 Zn 0.323 0.099 0.647
4 Zn 0.131 0.173 0.261
5 Zn 0.042 0.728 0.084
6 Zn 0.869 0.827 0.739
7 Zn 0.677 0.901 0.353
8 Zn 0.413 0.544 0.825
9 Zn 0.958 0.272 0.916
10 Ag 0.232 0.651 0.464
11 Ag 0.768 0.349 0.536

## Properties
**Energy relative to the elements**: -58 kJ/mol of formula units
**Magnetic moment**: 0.000 μB/cell
**Energy relative to the lowest polymorph listed for this composition**: 0 meV/atom
**SG**: C2/m (12)
**Electronic total energy**: -18.40 eV/cell
**Theoretical density**: 7.34 g cm⁻³